Record 1
VASP calculation (GGA-PBE) on an optimized crystal structure of NiPt2Rh.

Geometry as extended XYZ:
```
4
Lattice="-3.7859 -2.7571 -0.6325 -1.6871 -3.9816 -1.9065 0.5031 -2.9278 3.6429" Properties=species:S:1:pos:R:3 pbc="T T T"
Rh -2.5142 -4.8611 0.5304
Pt -5.4407 -6.7354 -2.4891
Pt -3.7401 -7.2367 0.7943
Ni -1.2328 -2.4052 0.2810
```

Values from the calculation:
Energy of formation: -30 meV per atom
Space-group type: Cm (8)



Record 2
VASP calculation (GGA-PBE) on an optimized crystal structure of LuMn2.

Geometry as extended XYZ:
```
12
Lattice="-4.1882 0.0859 -2.7490 2.2535 -4.3627 0.9966 -4.5249 -0.7681 6.8698" Properties=species:S:1:pos:R:3 pbc="T T T"
Mn -4.2247 -0.8621 -0.3950
Mn 0.0000 0.0000 0.0000
Mn -3.1200 -3.0006 0.0935
Mn -2.2624 -0.3840 3.4349
Mn -3.3394 -2.0442 5.0239
Mn -4.2877 -4.1407 4.1649
Mn -2.2348 -4.1828 5.5124
Mn -2.1717 -0.9042 0.9525
Lu -6.2808 -2.1167 4.9366
Lu -4.5883 -1.8294 2.3671
Lu -0.1787 -2.9282 0.1807
Lu -1.8711 -3.2155 2.7502
```

Values from the calculation:
Energy of formation: 8 meV per atom
Space-group type: P6_3/mmc (194)



Record 3
VASP calculation (GGA-PBE) on an optimized crystal structure of SrHo4ErSe8.

Geometry as extended XYZ:
```
14
Lattice="8.4935 0.0000 0.0000 4.2468 7.3556 0.0000 4.2468 2.4519 6.9285" Properties=species:S:1:pos:R:3 pbc="T T T"
Er 4.2468 2.4519 6.8879
Se 6.1328 3.5408 5.1076
Se 8.4935 7.6297 5.1076
Se 6.2368 6.2067 1.7767
Se 4.2468 2.4519 2.0190
Se 8.4935 2.2979 1.7767
Se 10.8543 3.5408 5.1076
Se 10.7503 6.2067 1.7767
Se 12.7403 7.3556 5.0419
Ho 6.3387 1.2441 3.4773
Ho 4.2468 4.8675 3.4773
Ho 2.1548 1.2441 3.4773
Ho 8.4935 4.9037 0.8684
Sr 8.4935 4.9037 6.0620
```

Values from the calculation:
Space-group type: R3m (160)



Record 4
VASP calculation (GGA-PBE) on an optimized crystal structure of GdErTl2.

Geometry as extended XYZ:
```
4
Lattice="-0.1181 1.7496 -3.2935 -2.0332 -1.4131 -2.7914 -8.3931 5.2362 0.9689" Properties=species:S:1:pos:R:3 pbc="T T T"
Er 0.0000 0.0000 0.0000
Tl -7.9384 4.1997 -3.8252
Tl -2.6060 1.3731 -1.2907
Gd -5.2722 2.7864 -2.5580
```

Values from the calculation:
Energy of formation: -258 meV per atom
Space-group type: R-3m (166)
E above lowest polymorph: 102 meV per atom



Record 5
VASP calculation (GGA-PBE) on an optimized crystal structure of CuHgSeN2.

Geometry as extended XYZ:
```
5
Lattice="-1.7262 2.9214 1.5221 -4.8852 -4.2759 2.6666 2.0373 -0.4036 3.0851" Properties=species:S:1:pos:R:3 pbc="T T T"
N 1.0186 -0.2018 1.5426
N -0.8631 1.4607 0.7610
Hg -2.4426 -2.1379 1.3333
Se 0.0000 0.0000 0.0000
Cu -2.2871 -0.8790 3.6369
```

Values from the calculation:
Space-group type: P4/mmm (123)
E above lowest polymorph: 195 meV per atom



Record 6
VASP calculation (GGA-PBE) on an optimized crystal structure of Ce2SiAs.

Geometry as extended XYZ:
```
4
Lattice="-1.2855 3.7104 1.3249 -3.8908 1.2268 -0.7292 -3.8210 -1.3020 6.4207" Properties=species:S:1:pos:R:3 pbc="T T T"
Si -4.5081 1.8044 3.5361
Ce -3.3068 -0.5786 4.8938
Ce -2.2408 0.9208 1.7288
As -7.2613 2.0044 6.7865
```

Values from the calculation:
Space-group type: R3m (160)
E above lowest polymorph: 206 meV per atom



no.,electronic total energy (eV per atom),density (g/cm3),density of states at the Fermi level (states/eV/cell)
1,-6.3333,15.98,6.83
2,-7.6125,10.53,14.71
3,-5.5281,5.93,4.11
4,-6.1025,10.41,3.21
5,-3.3124,6.35,2.27
6,-6.2688,5.94,7.06